Record 1
Li3Cd3Bi2: relaxed, PBE.

Calculated total energy   -2.24 eV/atom

Cell lengths 5.691, 5.691, 5.691 Å; angles 89.33, 89.33, 90.67 degrees
Positions (direct):
Li 0.200 0.800 0.500
Li 0.500 0.200 0.200
Li 0.800 0.500 0.800
Cd 0.226 0.774 0.000
Cd 0.000 0.226 0.226
Cd 0.774 0.000 0.774
Bi 0.299 0.299 0.701
Bi 0.701 0.701 0.299



Record 2
PmTh2Ru2: relaxed, PBE.

Polymorph energy (0 for the lowest one)   0.0 meV/atom

Cell lengths 3.878, 6.670, 10.349 Å; angles 79.56, 79.20, 73.10 degrees
Positions (direct):
Pm 0.697 0.965 0.641
Pm 0.303 0.035 0.359
Th 0.059 0.589 0.294
Th 0.164 0.750 0.922
Th 0.941 0.411 0.706
Th 0.836 0.250 0.078
Ru 0.381 0.662 0.575
Ru 0.463 0.179 0.894
Ru 0.619 0.338 0.425
Ru 0.537 0.821 0.106



Record 3
Al2In2S: relaxed, PBE.

Calculated total energy   -3.36 eV/atom

Cell lengths 6.650, 6.650, 5.017 Å; angles 90.00, 90.00, 90.00 degrees
Positions (direct):
S 0.000 0.000 0.000
S 0.500 0.500 0.000
Al 0.354 0.854 0.000
Al 0.854 0.646 0.000
Al 0.646 0.146 0.000
Al 0.146 0.354 0.000
In 0.173 0.673 0.500
In 0.673 0.827 0.500
In 0.827 0.327 0.500
In 0.327 0.173 0.500